1.
The following is a PBE calculation of an optimized crystal structure of TaAlIn2, from Alexandria via LeMat-Bulk.

abc: 9.8205 9.8205 9.8205
angles: 18.46 18.46 18.46
Positions (direct):
Ta 0.0000 0.0000 0.0000
Al 0.7398 0.7398 0.7398
In 0.2499 0.2499 0.2499
In 0.4909 0.4909 0.4909

Calculated values
space group	R3m, No. 160
density of states at the Fermi level	0.73	states/eV per atom
energy of formation from the pure elements	151	meV per atom



2.
The following is a PBE calculation of an optimized crystal structure of Ba2Al2Tl, from Alexandria via LeMat-Bulk.

abc: 7.7185 7.7185 5.5326
angles: 90.00 90.00 90.00
Positions (direct):
Ba 0.1813 0.3187 0.0000
Ba 0.3187 0.8187 0.0000
Ba 0.6813 0.1813 0.0000
Ba 0.8187 0.6813 0.0000
Al 0.1221 0.6221 0.5000
Al 0.3779 0.1221 0.5000
Al 0.6221 0.8779 0.5000
Al 0.8779 0.3779 0.5000
Tl 0.0000 0.0000 0.5000
Tl 0.5000 0.5000 0.5000

Calculated values
space group	P4/mbm, No. 127
density of states at the Fermi level	1.01	states/eV per atom
energy of formation from the pure elements	-103	meV per atom



3.
The following is a PBE calculation of an optimized crystal structure of SrNCl3, from Alexandria via LeMat-Bulk.

abc: 4.0220 7.6617 10.2534
angles: 82.48 84.68 75.26
Positions (direct):
Sr 0.1123 0.2549 0.0505
Sr 0.8877 0.7451 0.9495
N 0.1024 0.0154 0.4545
N 0.8976 0.9846 0.5455
Cl 0.0039 0.7472 0.5975
Cl 0.2889 0.9972 0.8501
Cl 0.4272 0.5397 0.1499
Cl 0.5728 0.4603 0.8501
Cl 0.7111 0.0028 0.1499
Cl 0.9961 0.2528 0.4025

Calculated values
formation energy from raw total energies	-1.179	eV per atom
space group	P-1, No. 2
density of states at the Fermi level	0.00	states/eV per atom
offset from the most stable computed form	0	meV/atom



4.
The following is a PBE calculation of an optimized crystal structure of Pm4Co3Rh, from Alexandria via LeMat-Bulk.

abc: 3.9889 4.0553 10.8366
angles: 90.00 90.00 90.00
Positions (direct):
Pm 0.0000 0.0000 0.0000
Pm 0.0000 0.5000 0.4951
Pm 0.5000 0.0000 0.2846
Pm 0.5000 0.5000 0.7809
Co 0.0000 0.0000 0.6912
Co 0.0000 0.5000 0.2193
Co 0.5000 0.0000 0.5884
Rh 0.5000 0.5000 0.0664

Calculated values
space group	Pmm2, No. 25
density of states at the Fermi level	0.69	states/eV per atom
energy of formation from the pure elements	-242	meV per atom



5.
The following is a PBE calculation of an optimized crystal structure of PmNd12Er3, from Alexandria via LeMat-Bulk.

abc: 5.1576 5.1576 20.5783
angles: 90.00 90.00 90.00
Positions (direct):
Pm 0.0000 0.0000 0.0000
Nd 0.0000 0.5000 0.1268
Nd 0.0000 0.5000 0.3756
Nd 0.0000 0.5000 0.6244
Nd 0.0000 0.5000 0.8732
Nd 0.5000 0.0000 0.1268
Nd 0.5000 0.0000 0.3756
Nd 0.5000 0.0000 0.6244
Nd 0.5000 0.0000 0.8732
Nd 0.5000 0.5000 0.0000
Nd 0.5000 0.5000 0.2517
Nd 0.5000 0.5000 0.5000
Nd 0.5000 0.5000 0.7482
Er 0.0000 0.0000 0.2514
Er 0.0000 0.0000 0.5000
Er 0.0000 0.0000 0.7486

Calculated values
space group	P4/mmm, No. 123
density of states at the Fermi level	1.53	states/eV per atom
energy of formation from the pure elements	14	meV per atom



6.
The following is a PBE calculation of an optimized crystal structure of ThNi2GePt4, from Alexandria via LeMat-Bulk.

abc: 8.8014 8.8014 8.8014
angles: 28.24 28.24 28.24
Positions (direct):
Th 0.0000 0.0000 0.0000
Ni 0.2530 0.2530 0.2530
Ni 0.7470 0.7470 0.7470
Ge 0.5000 0.5000 0.5000
Pt 0.1292 0.1292 0.1292
Pt 0.4020 0.4020 0.4020
Pt 0.5980 0.5980 0.5980
Pt 0.8708 0.8708 0.8708

Calculated values
space group	R-3m, No. 166
density of states at the Fermi level	0.56	states/eV per atom
energy of formation from the pure elements	-553	meV per atom



7.
The following is a PBE calculation of an optimized crystal structure of Ac5Sn2GeN, from Alexandria via LeMat-Bulk.

abc: 10.2918 10.2918 13.0080
angles: 90.00 90.00 153.09
Positions (direct):
Ac 0.0025 0.9975 0.5000
Ac 0.1431 0.8569 0.7260
Ac 0.1700 0.8300 0.0952
Ac 0.2153 0.7847 0.4086
Ac 0.4585 0.5415 0.7389
Ac 0.5415 0.4585 0.2389
Ac 0.7847 0.2153 0.9086
Ac 0.8300 0.1700 0.5952
Ac 0.8569 0.1431 0.2260
Ac 0.9975 0.0025 0.0000
Sn 0.3782 0.6218 0.0334
Sn 0.3922 0.6078 0.4106
Sn 0.6078 0.3922 0.9106
Sn 0.6218 0.3782 0.5334
Ge 0.2952 0.7048 0.7434
Ge 0.7048 0.2952 0.2434
N 0.0502 0.9498 0.1652
N 0.9498 0.0502 0.6652

Calculated values
formation energy from raw total energies	-0.783	eV per atom
space group	Cmc2_1, No. 36
density of states at the Fermi level	0.13	states/eV per atom



8.
The following is a PBE calculation of an optimized crystal structure of Dy3YHo3S8, from Alexandria via LeMat-Bulk.

abc: 7.7788 7.7788 7.7788
angles: 59.97 59.97 59.97
Positions (direct):
Dy 0.0000 0.5000 0.5000
Dy 0.5000 0.0000 0.5000
Dy 0.5000 0.5000 0.0000
Y 0.5000 0.5000 0.5000
Ho 0.0000 0.0000 0.5000
Ho 0.0000 0.5000 0.0000
Ho 0.5000 0.0000 0.0000
S 0.2470 0.7517 0.7517
S 0.2483 0.2483 0.7530
S 0.2483 0.7530 0.2483
S 0.2494 0.2494 0.2494
S 0.7506 0.7506 0.7506
S 0.7517 0.2470 0.7517
S 0.7517 0.7517 0.2470
S 0.7530 0.2483 0.2483

Calculated values
formation energy from raw total energies	-2.047	eV per atom
space group	R-3m, No. 166
density of states at the Fermi level	0.41	states/eV per atom